Below is crystalline Ni2PF at its relaxed geometry, with properties calculated at the PBE with a Hubbard U level.

Lattice parameters (Å, degrees): 3.8989 3.8989 3.8989 60.00 60.00 60.00
Atoms (fractional coordinates):
Ni 0.2500 0.2500 0.2500
Ni 0.7500 0.7500 0.7500
P 0.0000 0.0000 0.0000
F 0.5000 0.5000 0.5000

Total magnetization, μB/cell: 0.0
Density, kg/m³: 6631
Energy relative to the lowest polymorph listed for this composition, meV/atom: 422
Total energy, Ha/atom: -0.10522